[1]
# KThGa2I8 GGA-PBE relaxed
data_KThGa2I8
_symmetry_space_group_name_H-M 'P -1'
_symmetry_Int_Tables_number 2
_cell_length_a 6.838
_cell_length_b 8.048
_cell_length_c 10.468
_cell_angle_alpha 89.99
_cell_angle_beta 89.94
_cell_angle_gamma 89.55
loop_
_symmetry_equiv_pos_as_xyz
'x,y,z'
'-x,-y,-z'
loop_
_atom_site_label
_atom_site_fract_x
_atom_site_fract_y
_atom_site_fract_z
K1 0.000 0.000 0.000
Th1 0.000 0.000 0.500
Ga1 0.500 0.500 0.271
I1 0.240 0.674 0.500
I2 0.245 0.523 0.000
I3 0.250 0.147 0.716
I4 0.251 0.147 0.284
# Volume   48.00 A^3/atom
# Raw formation energy   -0.823 eV per atom
# Mass density   4.11 Mg/m³
# Size of the total moment   0.00 μB/cell
# Electronic total energy   -3.0702 eV per atom
# N(E_F)   0.150 states/eV per atom

[2]
# KThGaI6 GGA-PBE relaxed
data_KThGaI6
_symmetry_space_group_name_H-M 'P -3 1 c'
_symmetry_Int_Tables_number 163
_symmetry_space_group_name_Hall '-P 3 2c'
_cell_length_a 8.2899
_cell_length_b 8.2899
_cell_length_c 15.1922
_cell_angle_alpha 90.00
_cell_angle_beta 90.00
_cell_angle_gamma 120.00
loop_
_atom_site_label
_atom_site_fract_x
_atom_site_fract_y
_atom_site_fract_z
K1 0.0000 0.0000 0.0000
Th1 0.3333 0.6667 0.2500
Ga1 0.3333 0.6667 0.7500
I1 0.0193 0.3711 0.1340
# Volume   50.23 A^3/atom
# Raw formation energy   -1.104 eV per atom
# Mass density   4.05 Mg/m³
# Size of the total moment   0.00 μB/cell
# Electronic total energy   -3.4199 eV per atom
# N(E_F)   0.000 states/eV per atom

[3]
# KTl2GaI4 GGA-PBE relaxed
data_KTl2GaI4
_symmetry_space_group_name_H-M 'P 1 2/m 1'
_symmetry_Int_Tables_number 10
_cell_length_a 8.577
_cell_length_b 4.949
_cell_length_c 8.589
_cell_angle_alpha 90.00
_cell_angle_beta 109.40
_cell_angle_gamma 90.00
loop_
_symmetry_equiv_pos_as_xyz
'x,y,z'
'-x,-y,-z'
'-x,y,-z'
'x,-y,z'
loop_
_atom_site_label
_atom_site_fract_x
_atom_site_fract_y
_atom_site_fract_z
K1 0.000 0.000 0.000
Tl1 0.000 0.500 0.500
Tl2 0.500 0.000 0.500
Ga1 0.500 0.500 0.000
I1 0.256 0.500 0.243
I2 0.263 0.000 0.763
# Volume   42.98 A^3/atom
# Raw formation energy   -0.781 eV per atom
# Mass density   4.95 Mg/m³
# Size of the total moment   0.00 μB/cell
# Electronic total energy   -2.6627 eV per atom
# N(E_F)   0.000 states/eV per atom

[4]
# K2TlGaI4 GGA-PBE relaxed
data_K2TlGaI4
_symmetry_space_group_name_H-M 'P 1 2/m 1'
_symmetry_Int_Tables_number 10
_cell_length_a 8.621
_cell_length_b 4.974
_cell_length_c 8.631
_cell_angle_alpha 90.00
_cell_angle_beta 109.40
_cell_angle_gamma 90.00
loop_
_symmetry_equiv_pos_as_xyz
'x,y,z'
'-x,-y,-z'
'-x,y,-z'
'x,-y,z'
loop_
_atom_site_label
_atom_site_fract_x
_atom_site_fract_y
_atom_site_fract_z
K1 0.000 0.000 0.000
K2 0.000 0.500 0.500
Tl1 0.500 0.000 0.500
Ga1 0.500 0.500 0.000
I1 0.256 0.500 0.241
I2 0.263 0.000 0.765
# Volume   43.63 A^3/atom
# Raw formation energy   -0.980 eV per atom
# Mass density   4.09 Mg/m³
# Size of the total moment   0.00 μB/cell
# Electronic total energy   -2.7039 eV per atom
# N(E_F)   0.000 states/eV per atom

[5]
# K3TlGa2I6 GGA-PBE relaxed
data_K3TlGa2I6
_symmetry_space_group_name_H-M 'C 1 2/m 1'
_symmetry_Int_Tables_number 12
_cell_length_a 21.587
_cell_length_b 4.942
_cell_length_c 9.921
_cell_angle_alpha 90.00
_cell_angle_beta 103.43
_cell_angle_gamma 90.00
loop_
_symmetry_equiv_pos_as_xyz
'x,y,z'
'-x,-y,-z'
'-x,y,-z'
'x,-y,z'
'x+1/2,y+1/2,z'
'-x+1/2,-y+1/2,-z'
'-x+1/2,y+1/2,-z'
'x+1/2,-y+1/2,z'
loop_
_atom_site_label
_atom_site_fract_x
_atom_site_fract_y
_atom_site_fract_z
K1 0.000 0.000 0.000
K2 0.165 0.500 0.333
Tl1 0.000 0.000 0.500
Ga1 0.170 0.500 0.837
I1 0.005 0.500 0.755
I2 0.168 0.000 0.599
I3 0.172 0.000 0.073
# Volume   42.90 A^3/atom
# Raw formation energy   -0.952 eV per atom
# Mass density   3.94 Mg/m³
# Size of the total moment   0.00 μB/cell
# Electronic total energy   -2.7031 eV per atom
# N(E_F)   0.000 states/eV per atom

[6]
# K2TlGaI6 GGA-PBE relaxed
data_K2TlGaI6
_symmetry_space_group_name_H-M 'F m -3 m'
_symmetry_Int_Tables_number 225
_symmetry_space_group_name_Hall '-F 4 2 3'
_cell_length_a 12.193
_cell_length_b 12.193
_cell_length_c 12.193
_cell_angle_alpha 90.00
_cell_angle_beta 90.00
_cell_angle_gamma 90.00
loop_
_atom_site_label
_atom_site_fract_x
_atom_site_fract_y
_atom_site_fract_z
K1 0.250 0.250 0.250
Tl1 0.000 0.000 0.000
Ga1 0.000 0.000 0.500
I1 0.000 0.000 0.269
# Volume   45.32 A^3/atom
# Raw formation energy   -0.791 eV per atom
# Mass density   4.08 Mg/m³
# Size of the total moment   0.00 μB/cell
# Electronic total energy   -2.4795 eV per atom

[7]
# KTmGa2I6 GGA-PBE relaxed
data_KTmGa2I6
_symmetry_space_group_name_H-M 'R 3'
_symmetry_Int_Tables_number 146
_symmetry_space_group_name_Hall 'R 3'
_cell_length_a 8.2479
_cell_length_b 8.2479
_cell_length_c 22.3877
_cell_angle_alpha 90.00
_cell_angle_beta 90.00
_cell_angle_gamma 120.00
loop_
_atom_site_label
_atom_site_fract_x
_atom_site_fract_y
_atom_site_fract_z
K1 0.0000 0.0000 0.0000
Tm1 0.0000 0.0000 0.4909
Ga1 0.0000 0.0000 0.3057
Ga2 0.0000 0.0000 0.8133
I1 0.0127 0.3120 0.5631
I2 0.0253 0.7250 0.4063
# Volume   43.97 A^3/atom
# Raw formation energy   -0.975 eV per atom
# Mass density   4.19 Mg/m³
# Size of the total moment   0.00 μB/cell
# Electronic total energy   -3.0673 eV per atom
# N(E_F)   0.000 states/eV per atom

[8]
# KUGaI6 GGA-PBE relaxed
data_KUGaI6
_symmetry_space_group_name_H-M 'P -3 1 c'
_symmetry_Int_Tables_number 163
_symmetry_space_group_name_Hall '-P 3 2c'
_cell_length_a 8.2211
_cell_length_b 8.2211
_cell_length_c 15.0359
_cell_angle_alpha 90.00
_cell_angle_beta 90.00
_cell_angle_gamma 120.00
loop_
_atom_site_label
_atom_site_fract_x
_atom_site_fract_y
_atom_site_fract_z
K1 0.0000 0.0000 0.0000
U1 0.3333 0.6667 0.2500
Ga1 0.3333 0.6667 0.7500
I1 0.0223 0.3750 0.1349
# Volume   48.89 A^3/atom
# Raw formation energy   -0.875 eV per atom
# Mass density   4.18 Mg/m³
# Size of the total moment   4.00 μB/cell
# Electronic total energy   -3.6212 eV per atom
# N(E_F)   1.224 states/eV per atom

Copy entry 8 word for word.
# KUGaI6 GGA-PBE relaxed
data_KUGaI6
_symmetry_space_group_name_H-M 'P -3 1 c'
_symmetry_Int_Tables_number 163
_symmetry_space_group_name_Hall '-P 3 2c'
_cell_length_a 8.2211
_cell_length_b 8.2211
_cell_length_c 15.0359
_cell_angle_alpha 90.00
_cell_angle_beta 90.00
_cell_angle_gamma 120.00
loop_
_atom_site_label
_atom_site_fract_x
_atom_site_fract_y
_atom_site_fract_z
K1 0.0000 0.0000 0.0000
U1 0.3333 0.6667 0.2500
Ga1 0.3333 0.6667 0.7500
I1 0.0223 0.3750 0.1349
# Volume   48.89 A^3/atom
# Raw formation energy   -0.875 eV per atom
# Mass density   4.18 Mg/m³
# Size of the total moment   4.00 μB/cell
# Electronic total energy   -3.6212 eV per atom
# N(E_F)   1.224 states/eV per atom

> Look up the size of the total moment of the fourth one.

0.00 μB/cell

> The highest volume belongs to which entry?

KThGaI6